1.
# LiEuPtAu PBE optimized geometry
# calculated formation energy	-0.60	eV/atom
data_LiEuPtAu
_chemical_formula_sum 'Li4 Eu4 Pt4 Au4'
_space_group_name_H-M_alt 'F -4 3 m'
_space_group_IT_number 216
_space_group_name_Hall 'F -4 2 3'
_cell_length_a 6.925
_cell_length_b 6.925
_cell_length_c 6.925
_cell_angle_alpha 90.00
_cell_angle_beta 90.00
_cell_angle_gamma 90.00
loop_
_atom_site_label
_atom_site_type_symbol
_atom_site_fract_x
_atom_site_fract_y
_atom_site_fract_z
Li1 Li 0.000 0.000 0.000
Eu1 Eu 0.000 0.000 0.500
Pt1 Pt 0.250 0.250 0.250
Au1 Au 0.250 0.250 0.750

2.
# Nd2Ge7Pd12 PBE optimized geometry
# calculated formation energy	-0.69	eV/atom
data_Nd2Ge7Pd12
_chemical_formula_sum 'Nd2 Ge7 Pd12'
_space_group_name_H-M_alt 'P -3'
_space_group_IT_number 147
_space_group_name_Hall '-P 3'
_cell_length_a 10.2910
_cell_length_b 10.2910
_cell_length_c 3.9369
_cell_angle_alpha 90.00
_cell_angle_beta 90.00
_cell_angle_gamma 120.00
loop_
_atom_site_label
_atom_site_type_symbol
_atom_site_fract_x
_atom_site_fract_y
_atom_site_fract_z
Nd1 Nd 0.3333 0.6667 0.2455
Ge1 Ge 0.0000 0.0000 0.5000
Ge2 Ge 0.1177 0.7110 0.7489
Pd1 Pd 0.0593 0.4399 0.7510
Pd2 Pd 0.1122 0.2583 0.2466

3.
# CsRbBa PBE optimized geometry
# calculated formation energy	0.12	eV/atom
data_CsRbBa
_chemical_formula_sum 'Cs2 Rb2 Ba2'
_space_group_name_H-M_alt 'I 4 m m'
_space_group_IT_number 107
_space_group_name_Hall 'I 4 -2'
_cell_length_a 4.634
_cell_length_b 4.634
_cell_length_c 23.480
_cell_angle_alpha 90.00
_cell_angle_beta 90.00
_cell_angle_gamma 90.00
loop_
_atom_site_label
_atom_site_type_symbol
_atom_site_fract_x
_atom_site_fract_y
_atom_site_fract_z
Cs1 Cs 0.000 0.000 0.000
Rb1 Rb 0.000 0.000 0.320
Ba1 Ba 0.000 0.000 0.667

4.
# CsGeSe2 PBE optimized geometry
# raw formation energy	0.002	eV per atom
data_CsGeSe2
_chemical_formula_sum 'Cs1 Ge1 Se2'
_space_group_name_H-M_alt 'P 4/m m m'
_space_group_IT_number 123
_space_group_name_Hall '-P 4 2'
_cell_length_a 6.043
_cell_length_b 6.043
_cell_length_c 3.182
_cell_angle_alpha 90.00
_cell_angle_beta 90.00
_cell_angle_gamma 90.00
loop_
_atom_site_label
_atom_site_type_symbol
_atom_site_fract_x
_atom_site_fract_y
_atom_site_fract_z
Cs1 Cs 0.000 0.000 0.000
Ge1 Ge 0.500 0.500 0.000
Se1 Se 0.000 0.500 0.500

5.
# Tb2YPt PBE optimized geometry
# calculated formation energy	-0.71	eV/atom
data_Tb2YPt
_chemical_formula_sum 'Tb8 Y4 Pt4'
_space_group_name_H-M_alt 'P n m a'
_space_group_IT_number 62
_space_group_name_Hall '-P 2ac 2n'
_cell_length_a 7.076
_cell_length_b 9.672
_cell_length_c 6.494
_cell_angle_alpha 90.00
_cell_angle_beta 90.00
_cell_angle_gamma 90.00
loop_
_atom_site_label
_atom_site_type_symbol
_atom_site_fract_x
_atom_site_fract_y
_atom_site_fract_z
Tb1 Tb 0.181 0.061 0.177
Y1 Y 0.026 0.250 0.633
Pt1 Pt 0.112 0.750 0.946

6.
# LaCdCuGe PBE optimized geometry
# calculated formation energy	-0.29	eV/atom
data_LaCdCuGe
_chemical_formula_sum 'La4 Cd4 Cu4 Ge4'
_space_group_name_H-M_alt 'F -4 3 m'
_space_group_IT_number 216
_space_group_name_Hall 'F -4 2 3'
_cell_length_a 7.034
_cell_length_b 7.034
_cell_length_c 7.034
_cell_angle_alpha 90.00
_cell_angle_beta 90.00
_cell_angle_gamma 90.00
loop_
_atom_site_label
_atom_site_type_symbol
_atom_site_fract_x
_atom_site_fract_y
_atom_site_fract_z
La1 La 0.000 0.000 0.000
Cd1 Cd 0.000 0.000 0.500
Cu1 Cu 0.250 0.250 0.250
Ge1 Ge 0.250 0.250 0.750

7.
# Ag5Pt2Au12 PBE optimized geometry
# calculated formation energy	0.02	eV/atom
data_Ag5Pt2Au12
_chemical_formula_sum 'Ag10 Pt4 Au24'
_space_group_name_H-M_alt 'C 1 2/m 1'
_space_group_IT_number 12
_space_group_name_Hall '-C 2y'
_cell_length_a 16.213
_cell_length_b 9.477
_cell_length_c 4.732
_cell_angle_alpha 90.00
_cell_angle_beta 106.82
_cell_angle_gamma 90.00
loop_
_atom_site_label
_atom_site_type_symbol
_atom_site_fract_x
_atom_site_fract_y
_atom_site_fract_z
Ag1 Ag 0.000 0.000 0.000
Ag2 Ag 0.198 0.000 0.197
Ag3 Ag 0.202 0.500 0.204
Pt1 Pt 0.000 0.246 0.500
Au1 Au 0.092 0.500 0.594
Au2 Au 0.095 0.262 0.094
Au3 Au 0.099 0.000 0.598
Au4 Au 0.197 0.254 0.697

8.
# CuAu2Br PBE optimized geometry
# raw formation energy	0.164	eV per atom
data_CuAu2Br
_chemical_formula_sum 'Cu2 Au4 Br2'
_space_group_name_H-M_alt 'I m m 2'
_space_group_IT_number 44
_space_group_name_Hall 'I 2 -2'
_cell_length_a 2.911
_cell_length_b 4.442
_cell_length_c 13.138
_cell_angle_alpha 90.00
_cell_angle_beta 90.00
_cell_angle_gamma 90.00
loop_
_atom_site_label
_atom_site_type_symbol
_atom_site_fract_x
_atom_site_fract_y
_atom_site_fract_z
Cu1 Cu 0.000 0.000 0.000
Au1 Au 0.000 0.000 0.547
Au2 Au 0.000 0.500 0.675
Br1 Br 0.000 0.500 0.336

9.
# Mg2TlBr PBE optimized geometry
# raw formation energy	-0.253	eV per atom
data_Mg2TlBr
_chemical_formula_sum 'Mg4 Tl2 Br2'
_space_group_name_H-M_alt 'C 1 2/m 1'
_space_group_IT_number 12
_space_group_name_Hall '-C 2y'
_cell_length_a 12.167
_cell_length_b 3.415
_cell_length_c 5.947
_cell_angle_alpha 90.00
_cell_angle_beta 119.04
_cell_angle_gamma 90.00
loop_
_atom_site_label
_atom_site_type_symbol
_atom_site_fract_x
_atom_site_fract_y
_atom_site_fract_z
Mg1 Mg 0.229 0.000 0.230
Tl1 Tl 0.000 0.000 0.500
Br1 Br 0.000 0.500 0.000

10.
# RbLiCa2Mn PBE optimized geometry
# calculated formation energy	0.81	eV/atom
data_RbLiCa2Mn
_chemical_formula_sum 'Rb1 Li1 Ca2 Mn1'
_space_group_name_H-M_alt 'P 4/m m m'
_space_group_IT_number 123
_space_group_name_Hall '-P 4 2'
_cell_length_a 5.973
_cell_length_b 5.973
_cell_length_c 6.094
_cell_angle_alpha 90.00
_cell_angle_beta 90.00
_cell_angle_gamma 90.00
loop_
_atom_site_label
_atom_site_type_symbol
_atom_site_fract_x
_atom_site_fract_y
_atom_site_fract_z
Rb1 Rb 0.000 0.000 0.000
Li1 Li 0.000 0.000 0.500
Ca1 Ca 0.000 0.500 0.500
Mn1 Mn 0.500 0.500 0.000

11.
## RbInH2 (PBE)

Data for a geometry-optimized RbInH2 structure.

CIF file:
```
data_RbInH2
_chemical_formula_sum 'Rb4 In4 H8'
_space_group_name_H-M_alt 'F m -3 m'
_space_group_IT_number 225
_space_group_name_Hall '-F 4 2 3'
_cell_length_a 6.865
_cell_length_b 6.865
_cell_length_c 6.865
_cell_angle_alpha 90.00
_cell_angle_beta 90.00
_cell_angle_gamma 90.00
loop_
_atom_site_label
_atom_site_type_symbol
_atom_site_fract_x
_atom_site_fract_y
_atom_site_fract_z
Rb1 Rb 0.000 0.000 0.000
In1 In 0.000 0.000 0.500
H1 H 0.250 0.250 0.250
```

12.
# BaHg3Sb PBE optimized geometry
# raw formation energy	-0.423	eV per atom
data_BaHg3Sb
_chemical_formula_sum 'Ba2 Hg6 Sb2'
_space_group_name_H-M_alt 'C 1 m 1'
_space_group_IT_number 8
_space_group_name_Hall 'C -2y'
_cell_length_a 13.484
_cell_length_b 4.896
_cell_length_c 5.110
_cell_angle_alpha 90.00
_cell_angle_beta 112.06
_cell_angle_gamma 90.00
loop_
_atom_site_label
_atom_site_type_symbol
_atom_site_fract_x
_atom_site_fract_y
_atom_site_fract_z
Ba1 Ba 0.000 0.000 0.000
Hg1 Hg 0.114 0.500 0.616
Hg2 Hg 0.231 0.500 0.233
Hg3 Hg 0.244 0.000 0.744
Sb1 Sb 0.387 0.000 0.386

| no. | E (eV per atom) |
| --- | --- |
| 1 | -5.980 |
| 2 | -5.648 |
| 3 | -1.126 |
| 4 | -3.108 |
| 5 | -6.150 |
| 6 | -3.933 |
| 7 | -3.437 |
| 8 | -2.917 |
| 9 | -2.060 |
| 10 | -2.403 |
| 11 | -2.313 |
| 12 | -1.813 |